(1)
Y5Te2Rh2 PBE relaxed; space-group type = Cmce
1.0
7.822 -3.909 0.000
7.822 3.909 0.000
0.000 0.000 7.769
Y Te Rh
10 4 4
direct
0.000 0.000 0.000
0.042 0.722 0.659
0.222 0.542 0.159
0.278 0.958 0.659
0.458 0.778 0.159
0.500 0.500 0.500
0.542 0.222 0.841
0.722 0.042 0.341
0.778 0.458 0.841
0.958 0.278 0.341
0.210 0.210 0.000
0.290 0.290 0.500
0.710 0.710 0.500
0.790 0.790 0.000
0.139 0.861 0.363
0.361 0.639 0.863
0.639 0.361 0.137
0.861 0.139 0.637



(2)
Cs2TlHgSb PBE relaxed; space-group type = P2_1/m
1.0
9.163 0.000 0.000
0.000 5.450 0.000
-2.785 0.000 8.807
Cs Tl Hg Sb
4 2 2 2
direct
0.063 0.250 0.180
0.383 0.750 0.640
0.617 0.250 0.360
0.937 0.750 0.820
0.330 0.250 0.925
0.670 0.750 0.075
0.064 0.250 0.594
0.936 0.750 0.406
0.347 0.750 0.124
0.653 0.250 0.876



(3)
LaMoPt2 PBE relaxed; space-group type = Pm
1.0
2.969 0.000 0.000
0.000 4.817 0.000
-0.061 0.000 5.362
La Mo Pt
1 1 2
direct
0.000 0.000 0.000
0.017 0.500 0.607
0.505 0.500 0.173
0.506 0.000 0.508



Raw total energy? In order: -124.83, -20.24, -29.12 eV per cell.